A relaxed PaTlNiTe3 crystal. Source: the Alexandria database, functional PBE.

a b c (Å): 9.7239 4.1242 10.3223
angles (deg): 90.00 112.09 90.00
Closest atoms and distances in Å follow each position.
Positions (direct):
Pa 0.1990 0.2500 0.1713  6 Te 2.95-3.15, 2 Ni 2.96
Pa 0.8010 0.7500 0.8287  6 Te 2.95-3.15, 2 Ni 2.96
Tl 0.2880 0.7500 0.7449  7 Te 3.46-3.61
Tl 0.7120 0.2500 0.2551  7 Te 3.46-3.61
Ni 0.3886 0.7500 0.3609  4 Te 2.55-2.70
Ni 0.6114 0.2500 0.6391  4 Te 2.55-2.70
Te 0.0455 0.2500 0.8429  3 Pa 3.11-3.15
Te 0.3189 0.2500 0.4793  3 Ni 2.61-2.70
Te 0.4054 0.7500 0.1206  1 Ni 2.55
Te 0.5946 0.2500 0.8794  1 Ni 2.55
Te 0.6811 0.7500 0.5207  3 Ni 2.61-2.70
Te 0.9545 0.7500 0.1571  3 Pa 3.11-3.15

Calculated values
Density of states at the Fermi level, states/eV per cell: 3.658
Calculated total energy, eV/atom: -5.07
SG: P2_1/m (11)
Mass density, kg/m3: 7592